1.
Density functional theory data (PBE) for a relaxed Th2Pa2N7 crystal.

Computed properties:
Formation energy from raw total energies ... -1.298 eV per atom
Polymorph energy (0 for the lowest one) ... 0 meV per atom

a b c (Å): 11.1055 11.1055 11.1055
angles (deg): 90.00 90.00 90.00
Closest atoms and distances in Å follow each position.
Space group Fd-3m (No. 227, origin choice 2)
Inequivalent atoms, fractional coordinates:
Th: 0.0000 0.0000 0.0000 [16 per cell]  8 N 2.40-2.62
Pa: 0.0000 0.0000 0.5000 [16 per cell]  6 N 2.22
N: 0.0931 0.3750 0.8750 [48 per cell]  2 Pa 2.22
N: 0.1250 0.1250 0.1250 [8 per cell]  4 Th 2.40


2.
Density functional theory data (PBE) for a relaxed Th3PaN6 crystal.

Computed properties:
Formation energy from raw total energies ... -1.535 eV per atom

a b c (Å): 10.1365 10.1365 11.9466
angles (deg): 90.00 90.00 120.00
Closest atoms and distances in Å follow each position.
Space group R-3 (No. 148, hexagonal axes)
Inequivalent atoms, fractional coordinates:
Th: 0.0365 0.7706 0.2132 [18 per cell]  6 N 2.40-2.55
Pa: 0.0000 0.0000 0.0000 [3 per cell]  6 N 2.28
Pa: 0.0000 0.0000 0.5000 [3 per cell]  6 N 2.30
N: 0.0267 0.8454 0.8750 [18 per cell]  1 Pa 2.28, 3 Th 2.41-2.49
N: 0.0343 0.8188 0.4095 [18 per cell]  1 Pa 2.30, 3 Th 2.40-2.55


3.
Density functional theory data (PBE) for a relaxed ThPa2N4 crystal.

Computed properties:
Formation energy from raw total energies ... -1.461 eV per atom
Polymorph energy (0 for the lowest one) ... 131 meV per atom

a b c (Å): 12.4494 3.5656 6.0294
angles (deg): 90.00 117.13 90.00
Closest atoms and distances in Å follow each position.
Space group C2/m (No. 12)
Inequivalent atoms, fractional coordinates:
Th: 0.0000 0.0000 0.0000 [2 per cell]  6 N 2.44-2.58
Pa: 0.2024 0.5000 0.7020 [4 per cell]  4 N 2.25-2.37
N: 0.1483 0.0000 0.4380 [4 per cell]  3 Pa 2.28-2.37, 1 Th 2.44
N: 0.1543 0.5000 0.0189 [4 per cell]  1 Pa 2.25


4.
Density functional theory data (PBE) for a relaxed Th2PaN4 crystal.

Computed properties:
Formation energy from raw total energies ... -1.632 eV per atom
Polymorph energy (0 for the lowest one) ... 0 meV per atom

a b c (Å): 6.0931 10.4162 3.6025
angles (deg): 90.00 90.00 90.00
Closest atoms and distances in Å follow each position.
Space group Pbam (No. 55)
Inequivalent atoms, fractional coordinates:
Th: 0.0526 0.1723 0.0000 [4 per cell]  6 N 2.37-2.57
Pa: 0.0000 0.5000 0.5000 [2 per cell]  6 N 2.27-2.36
N: 0.1511 0.6996 0.5000 [4 per cell]  1 Pa 2.27
N: 0.2416 0.4643 0.0000 [4 per cell]  2 Pa 2.36, 2 Th 2.37-2.50


5.
Density functional theory data (PBE) for a relaxed ThPaN4 crystal.

Computed properties:
Formation energy from raw total energies ... -0.934 eV per atom

a b c (Å): 5.9234 5.9234 9.7648
angles (deg): 90.00 90.00 90.00
Closest atoms and distances in Å follow each position.
Space group I4_1/amd (No. 141, origin choice 2)
Inequivalent atoms, fractional coordinates:
Th: 0.0000 0.2500 0.3750 [4 per cell]  8 N 2.47
Pa: 0.0000 0.2500 0.8750 [4 per cell]  8 N 2.38
N: 0.2368 0.0000 0.0000 [16 per cell]  2 Pa 2.38, 2 N 2.44, 2 Th 2.47


6.
Density functional theory data (PBE) for a relaxed Th2PaN crystal.

Computed properties:
Formation energy from raw total energies ... -0.322 eV per atom

a b c (Å): 3.3779 3.3779 28.8550
angles (deg): 90.00 90.00 120.00
Closest atoms and distances in Å follow each position.
Space group R-3m (No. 166, hexagonal axes)
Inequivalent atoms, fractional coordinates:
Th: 0.0000 0.0000 0.1127 [6 per cell]  3 N 2.50
Pa: 0.0000 0.0000 0.0000 [3 per cell]  2 Th 3.25, 6 Pa 3.38
N: 0.0000 0.0000 0.5000 [3 per cell]  6 Th 2.50


7.
Density functional theory data (PBE) for a relaxed ThPa2N3 crystal.

Computed properties:
Formation energy from raw total energies ... -1.599 eV per atom

a b c (Å): 7.0871 5.0363 10.6612
angles (deg): 90.00 90.00 90.00
Closest atoms and distances in Å follow each position.
Space group Pnma (No. 62)
Inequivalent atoms, fractional coordinates:
Th: 0.1262 0.2500 0.0814 [4 per cell]  6 N 2.52-2.60
Pa: 0.1233 0.2500 0.4163 [4 per cell]  6 N 2.51-2.52
Pa: 0.1253 0.2500 0.7507 [4 per cell]  6 N 2.41-2.52
N: 0.1162 0.7500 0.4108 [4 per cell]  5 Pa 2.43-2.52, 1 Th 2.58
N: 0.1257 0.7500 0.7508 [4 per cell]  4 Pa 2.51-2.52, 2 Th 2.52-2.53
N: 0.1359 0.7500 0.0892 [4 per cell]  3 Pa 2.41-2.52, 3 Th 2.52-2.60


8.
Density functional theory data (PBE) for a relaxed ThPaN2 crystal.

Computed properties:
Formation energy from raw total energies ... -1.331 eV per atom

a b c (Å): 3.5035 3.5035 18.4732
angles (deg): 90.00 90.00 120.00
Closest atoms and distances in Å follow each position.
Space group R3m (No. 160, hexagonal axes)
Inequivalent atoms, fractional coordinates:
Th: 0.0000 0.0000 0.0000 [3 per cell]  6 N 2.54-2.73
Pa: 0.0000 0.0000 0.1757 [3 per cell]  6 N 2.45-2.47
N: 0.0000 0.0000 0.5837 [3 per cell]  3 Pa 2.45, 3 Th 2.54
N: 0.0000 0.0000 0.7656 [3 per cell]  3 Pa 2.47, 3 Th 2.73


9.
Density functional theory data (PBE) for a relaxed Th2Pa3N8 crystal.

Computed properties:
Formation energy from raw total energies ... -1.500 eV per atom
Polymorph energy (0 for the lowest one) ... 0 meV per atom

a b c (Å): 7.1189 7.1189 10.4744
angles (deg): 90.00 90.00 120.00
Closest atoms and distances in Å follow each position.
Space group P6_3mc (No. 186)
Inequivalent atoms, fractional coordinates:
Th: 0.3333 0.6667 0.0000 [2 per cell]  6 N 2.42-2.43
Th: 0.3333 0.6667 0.3413 [2 per cell]  3 N 2.40
Pa: 0.1663 0.3326 0.7090 [6 per cell]  6 N 2.24-2.37
N: 0.0000 0.0000 0.2944 [2 per cell]  3 Pa 2.24
N: 0.0552 0.5276 0.8372 [6 per cell]  2 Pa 2.33, 2 Th 2.40-2.42
N: 0.1829 0.3658 0.1497 [6 per cell]  2 Pa 2.25, 1 Th 2.43
N: 0.3333 0.6667 0.5980 [2 per cell]  3 Pa 2.37


10.
Density functional theory data (PBE) for a relaxed Th2PaN3 crystal.

Computed properties:
Formation energy from raw total energies ... -1.596 eV per atom
Polymorph energy (0 for the lowest one) ... 0 meV per atom

a b c (Å): 6.2469 10.8151 6.2379
angles (deg): 90.00 109.49 90.00
Closest atoms and distances in Å follow each position.
Space group C2/m (No. 12)
Inequivalent atoms, fractional coordinates:
Th: 0.0000 0.0000 0.0000 [2 per cell]  6 N 2.55-2.56
Th: 0.0000 0.1656 0.5000 [4 per cell]  6 N 2.55-2.66
Th: 0.0000 0.5000 0.5000 [2 per cell]  6 N 2.56-2.64
Pa: 0.0000 0.3330 0.0000 [4 per cell]  6 N 2.43-2.46
N: 0.2274 0.5000 0.2259 [4 per cell]  2 Pa 2.43, 4 Th 2.55-2.66
N: 0.2491 0.3270 0.7677 [8 per cell]  2 Pa 2.46, 4 Th 2.55-2.65


11.
Density functional theory data (PBE) for a relaxed Th2Pa3N8 crystal.

Computed properties:
Formation energy from raw total energies ... -1.458 eV per atom
Polymorph energy (0 for the lowest one) ... 42 meV per atom

a b c (Å): 11.6861 7.0124 5.9012
angles (deg): 90.00 111.94 90.00
Closest atoms and distances in Å follow each position.
Space group C2/m (No. 12)
Inequivalent atoms, fractional coordinates:
Th: 0.2124 0.0000 0.1386 [4 per cell]  6 N 2.41-2.64
Pa: 0.0000 0.2410 0.5000 [4 per cell]  6 N 2.23-2.30
Pa: 0.0000 0.5000 0.0000 [2 per cell]  6 N 2.26-2.37
N: 0.0979 0.0000 0.4045 [4 per cell]  2 Pa 2.23, 1 Th 2.41
N: 0.1038 0.5000 0.4308 [4 per cell]  3 Pa 2.30-2.37
N: 0.1217 0.2896 0.9047 [8 per cell]  2 Pa 2.26-2.30, 2 Th 2.46-2.52


12.
Density functional theory data (PBE) for a relaxed Th2Pa2N7 crystal.

Computed properties:
Formation energy from raw total energies ... -1.194 eV per atom
Polymorph energy (0 for the lowest one) ... 105 meV per atom

a b c (Å): 7.6723 8.1398 5.5150
angles (deg): 90.00 90.00 90.00
Closest atoms and distances in Å follow each position.
Space group Cmmm (No. 65)
Inequivalent atoms, fractional coordinates:
Th: 0.2385 0.0000 0.0000 [4 per cell]  6 N 2.32-2.47
Pa: 0.0000 0.2313 0.5000 [4 per cell]  7 N 2.19-2.36
N: 0.0000 0.0000 0.2579 [4 per cell]  2 Pa 2.31, 2 Th 2.32
N: 0.0000 0.5000 0.5000 [2 per cell]  2 Pa 2.19
N: 0.2500 0.2500 0.2529 [8 per cell]  2 Pa 2.36, 2 Th 2.47